Record 1
PBE LiCdPb2, optimized geometry; crystal system = cubic; calculated formation energy = -0.045 eV per atom
1.0
5.342 0.000 0.000
2.671 4.626 0.000
2.671 1.542 4.362
Li Cd Pb
1 1 2
Cartesian
8.013 4.626 3.271
5.342 3.084 2.181
2.671 1.542 1.090
0.000 0.000 0.000


Record 2
PBE Gd2PaIn, optimized geometry; crystal system = trigonal; calculated formation energy = 0.158 eV per atom; energy above the lowest structure with this stoichiometry = 0.267 eV/atom
1.0
3.410 0.000 0.000
1.705 2.953 0.000
1.705 0.984 11.901
In Gd Pa
1 2 1
Cartesian
0.000 0.000 0.000
1.705 0.984 8.662
5.116 2.953 3.239
3.410 1.969 5.951


Record 3
PBE ZnSiNO2, optimized geometry; crystal system = tetragonal; raw formation energy = -0.8004 eV/atom
1.0
3.550 0.000 0.000
0.000 3.550 0.000
0.000 0.000 3.625
Zn Si O N
1 1 2 1
Cartesian
1.775 1.775 1.812
0.000 0.000 0.000
1.775 0.000 0.000
0.000 1.775 0.000
0.000 0.000 1.812


Record 4
PBE La3NdS4, optimized geometry; crystal system = monoclinic; energy above the lowest structure with this stoichiometry = 0.000 eV/atom; raw formation energy = -2.1382 eV/atom
1.0
7.177 0.068 0.000
-2.451 6.747 0.000
0.000 0.000 8.226
La S Nd
6 8 2
Cartesian
5.383 0.051 3.081
0.569 3.390 3.081
4.157 3.425 5.145
4.157 3.425 1.025
0.569 3.390 7.201
1.794 0.017 5.146
2.984 1.698 7.213
2.966 1.708 3.070
1.760 5.107 5.157
5.330 5.152 7.213
-1.829 5.073 3.070
1.741 5.117 1.013
6.555 1.742 5.157
-0.604 1.663 1.013
5.383 0.051 7.202
1.794 0.017 1.025


Record 5
PBE RbHoAuS2, optimized geometry; crystal system = monoclinic; raw formation energy = -1.1523 eV/atom
1.0
-4.421 -2.314 -0.541
3.035 -4.556 -5.308
1.435 -4.205 6.258
S Rb Au Ho
4 2 2 2
Cartesian
-0.813 -2.031 -1.195
1.428 -6.270 -1.368
0.862 -9.044 1.604
-1.378 -4.805 1.777
1.969 -5.759 1.963
-1.919 -5.316 -1.554
0.000 0.000 0.000
0.718 -2.102 3.129
-1.824 -2.194 1.297
-1.161 -4.325 4.420


Record 6
PBE La2MgHgIr, optimized geometry; crystal system = tetragonal; calculated formation energy = -0.292 eV per atom; energy above the lowest structure with this stoichiometry = 0.162 eV/atom
1.0
-1.982 1.146 -4.996
-1.089 -5.328 -0.790
-4.883 0.687 2.095
Hg Ir La Mg
1 1 2 1
Cartesian
-2.442 0.344 1.048
0.000 0.000 0.000
-0.991 0.573 -2.498
-0.545 -2.664 -0.395
-3.977 -1.747 -1.845